The following is a DFT calculation (PBE with a Hubbard U) of a geometry-optimized CrFe2HgO structure.

Output
Space group: No. 123
Density of states at the Fermi level (states/eV per cell): 3.25
Density (g/cm3): 5.4
Volume (Å³/cell): 117.7
Final energy (eV/cell): -17.995

Structure (CIF):
```
data_CrFe2HgO
_space_group_name_H-M_alt 'P 1'
_space_group_IT_number 1
_cell_length_a 5.248
_cell_length_b 5.248
_cell_length_c 4.274
_cell_angle_alpha 90.00
_cell_angle_beta 90.00
_cell_angle_gamma 90.00
loop_
_space_group_symop_operation_xyz
'x,y,z'
loop_
_atom_site_label
_atom_site_type_symbol
_atom_site_fract_x
_atom_site_fract_y
_atom_site_fract_z
Cr1 Cr 0.000 0.000 0.000
Fe1 Fe 0.000 0.500 0.500
Fe2 Fe 0.500 0.000 0.500
Hg1 Hg 0.500 0.500 0.500
O1 O 0.500 0.500 0.000
```